Compound: Sc2CdAg
Source: Alexandria
Functional: SCAN
Structure: PBEsol geometry

Unit cell a=3.403 b=4.843 c=4.886 alpha=90.00 beta=90.00 gamma=90.00
Fractional positions:
Sc 0.000 0.000 0.000
Sc 0.000 0.500 0.471
Cd 0.500 0.000 0.511
Ag 0.500 0.500 0.956

Properties
space group: Pmm2 (25)
total moment: 0.000 μB/atom
formation energy: -1.6 eV/f.u.
calculated total energy: -91.81 eV/cell



Compound: KLa2Ag3Te8
Source: Alexandria
Functional: SCAN
Structure: PBEsol geometry

Unit cell a=4.378 b=4.378 c=21.197 alpha=90.00 beta=90.00 gamma=90.00
Fractional positions:
K 0.000 0.000 0.000
La 0.000 0.000 0.461
La 0.500 0.500 0.262
Ag 0.000 0.500 0.844
Ag 0.500 0.000 0.844
Ag 0.500 0.500 0.758
Te 0.000 0.000 0.304
Te 0.000 0.000 0.749
Te 0.000 0.500 0.141
Te 0.000 0.500 0.582
Te 0.500 0.000 0.141
Te 0.500 0.000 0.582
Te 0.500 0.500 0.418
Te 0.500 0.500 0.929

Properties
space group: P4mm (99)
total moment: 0.000 μB/atom
calculated total energy: -498.66 eV/cell
formation energy without anion corrections: -858 meV/atom



Compound: Ba2SeBr
Source: Alexandria
Functional: SCAN
Structure: PBEsol geometry

Unit cell a=4.615 b=4.615 c=6.508 alpha=90.00 beta=90.00 gamma=90.00
Fractional positions:
Ba 0.000 0.000 0.000
Ba 0.500 0.500 0.500
Se 0.000 0.000 0.500
Br 0.500 0.500 0.000

Properties
E above lowest polymorph: 0.0231 eV per atom
space group: P4/mmm (123)
total moment: 0.000 μB/atom
calculated total energy: -126.81 eV/cell
formation energy without anion corrections: -2044 meV/atom



Compound: ScAlW
Source: Alexandria
Functional: SCAN
Structure: PBEsol geometry

Unit cell a=6.150 b=6.150 c=6.150 alpha=90.00 beta=90.00 gamma=90.00
Fractional positions:
Sc 0.000 0.000 0.000
Sc 0.000 0.500 0.500
Sc 0.500 0.000 0.500
Sc 0.500 0.500 0.000
Al 0.250 0.250 0.750
Al 0.250 0.750 0.250
Al 0.750 0.250 0.250
Al 0.750 0.750 0.750
W 0.000 0.000 0.500
W 0.000 0.500 0.000
W 0.500 0.000 0.000
W 0.500 0.500 0.500

Properties
E above lowest polymorph: 0.5716 eV per atom
space group: F-43m (216)
total moment: 0.000 μB/atom
formation energy: 2.0 eV/f.u.
calculated total energy: -358.90 eV/cell



Compound: ZrMoSe2
Source: Alexandria
Functional: SCAN
Structure: PBEsol geometry

Unit cell a=7.730 b=3.295 c=5.718 alpha=90.00 beta=103.33 gamma=90.00
Fractional positions:
Zr 0.000 0.000 0.000
Zr 0.500 0.500 0.000
Mo 0.000 0.500 0.500
Mo 0.500 0.000 0.500
Se 0.244 0.000 0.723
Se 0.256 0.500 0.277
Se 0.744 0.500 0.723
Se 0.756 0.000 0.277

Properties
E above lowest polymorph: 0.0969 eV per atom
space group: C2/m (12)
total moment: 0.000 μB/atom
calculated total energy: -215.14 eV/cell
formation energy without anion corrections: -458 meV/atom



Compound: FeTeOs
Source: Alexandria
Functional: SCAN
Structure: PBEsol geometry

Unit cell a=5.991 b=5.991 c=5.991 alpha=90.00 beta=90.00 gamma=90.00
Fractional positions:
Fe 0.000 0.000 0.000
Fe 0.000 0.500 0.500
Fe 0.500 0.000 0.500
Fe 0.500 0.500 0.000
Te 0.000 0.000 0.500
Te 0.000 0.500 0.000
Te 0.500 0.000 0.000
Te 0.500 0.500 0.500
Os 0.250 0.250 0.250
Os 0.250 0.750 0.750
Os 0.750 0.250 0.750
Os 0.750 0.750 0.250

Properties
space group: F-43m (216)
total moment: 1.191 μB/atom
calculated total energy: -505.93 eV/cell
formation energy without anion corrections: 259 meV/atom